TbTa4Te8 after structural relaxation, computed with GGA-PBE.

```
TbTa4Te8
1.0
3.802 2.195 7.486
-3.802 2.195 7.486
0.000 -4.391 7.486
Tb Ta Te
1 4 8
Direct
0.000 0.000 0.000
0.000 0.000 0.500
0.000 0.500 0.000
0.500 0.000 0.000
0.500 0.500 0.500
0.246 0.246 0.246
0.256 0.741 0.741
0.259 0.259 0.744
0.259 0.744 0.259
0.741 0.256 0.741
0.741 0.741 0.256
0.744 0.259 0.259
0.754 0.754 0.754
```

=====

HoTm2Co2 after structural relaxation, computed with GGA-PBE.

Summary:
Its energy above the most stable polymorph in this dataset is 9 meV/atom.

```
HoTm2Co2
1.0
7.101 0.000 0.000
0.000 7.101 0.000
0.000 0.000 4.129
Ho Tm Co
2 4 4
Direct
0.000 0.000 0.000
0.500 0.500 0.000
0.172 0.328 0.500
0.328 0.828 0.500
0.672 0.172 0.500
0.828 0.672 0.500
0.112 0.612 0.000
0.388 0.112 0.000
0.612 0.888 0.000
0.888 0.388 0.000
```

=====

Mn2BePt after structural relaxation, computed with GGA-PBE.

```
Mn2BePt
1.0
1.366 0.789 8.040
-1.366 0.789 8.040
0.000 -1.577 8.040
Mn Be Pt
2 1 1
Direct
0.240 0.240 0.240
0.760 0.760 0.760
0.500 0.500 0.500
0.000 0.000 0.000
```

=====

Mn3Rh2Se8 after structural relaxation, computed with GGA-PBE.

```
Mn3Rh2Se8
1.0
6.360 -3.652 0.000
6.360 3.652 0.000
-2.205 0.000 6.186
Mn Rh Se
3 2 8
Direct
0.000 0.000 0.000
0.252 0.748 0.500
0.748 0.252 0.500
0.251 0.251 0.517
0.749 0.749 0.483
0.112 0.633 0.718
0.116 0.116 0.729
0.367 0.888 0.282
0.376 0.376 0.289
0.624 0.624 0.711
0.633 0.112 0.718
0.884 0.884 0.271
0.888 0.367 0.282
```

=====

ScTi3S after structural relaxation, computed with GGA-PBE.

Summary:
Its energy above the most stable polymorph in this dataset is 1753 meV/atom.

```
ScTi3S
1.0
4.725 0.000 0.000
0.000 4.725 0.000
0.000 0.000 4.725
Sc Ti S
1 3 1
Direct
0.000 0.000 0.000
0.000 0.000 0.500
0.000 0.500 0.000
0.500 0.000 0.000
0.500 0.500 0.500
```

=====

Dy2FeCo3 after structural relaxation, computed with GGA-PBE.

Summary:
Its energy above the most stable polymorph in this dataset is 21 meV/atom.

```
Dy2FeCo3
1.0
5.173 0.000 0.000
-2.586 4.480 0.000
0.000 0.000 8.060
Dy Fe Co
4 2 6
Direct
0.333 0.667 0.062
0.333 0.667 0.438
0.667 0.333 0.562
0.667 0.333 0.938
0.000 0.000 0.000
0.000 0.000 0.500
0.167 0.334 0.750
0.167 0.833 0.750
0.334 0.167 0.250
0.666 0.833 0.750
0.833 0.167 0.250
0.833 0.666 0.250
```

=====

Ac3LaNi2 after structural relaxation, computed with GGA-PBE.

```
Ac3LaNi2
1.0
8.924 -2.063 0.000
8.924 2.063 0.000
-7.350 0.000 10.391
Ac La Ni
6 2 4
Direct
0.085 0.085 0.442
0.086 0.086 0.950
0.343 0.343 0.246
0.657 0.657 0.754
0.914 0.914 0.050
0.915 0.915 0.558
0.338 0.338 0.735
0.662 0.662 0.265
0.265 0.265 0.450
0.267 0.267 0.954
0.733 0.733 0.046
0.735 0.735 0.550
```

=====

HoIn12Hg6 after structural relaxation, computed with GGA-PBE.

Summary:
Its energy above the most stable polymorph in this dataset is 0 meV/atom.

```
HoIn12Hg6
1.0
6.824 3.940 3.167
-6.824 3.940 3.167
0.000 -7.880 3.167
Ho In Hg
1 12 6
Direct
0.000 0.000 0.000
0.041 0.286 0.805
0.186 0.519 0.623
0.195 0.959 0.714
0.286 0.805 0.041
0.377 0.814 0.481
0.481 0.377 0.814
0.519 0.623 0.186
0.623 0.186 0.519
0.714 0.195 0.959
0.805 0.041 0.286
0.814 0.481 0.377
0.959 0.714 0.195
0.144 0.419 0.222
0.222 0.144 0.419
0.419 0.222 0.144
0.581 0.778 0.856
0.778 0.856 0.581
0.856 0.581 0.778
```

=====

NaAl3Au10 after structural relaxation, computed with GGA-PBE.

```
NaAl3Au10
1.0
0.000 6.473 6.473
6.473 0.000 6.473
6.473 6.473 0.000
Na Al Au
2 6 20
Direct
0.250 0.250 0.250
0.750 0.750 0.750
0.237 0.237 0.763
0.237 0.763 0.237
0.237 0.763 0.763
0.763 0.237 0.237
0.763 0.237 0.763
0.763 0.763 0.237
0.115 0.115 0.115
0.115 0.115 0.654
0.115 0.654 0.115
0.153 0.500 0.500
0.153 0.500 0.847
0.153 0.847 0.500
0.346 0.885 0.885
0.500 0.153 0.500
0.500 0.153 0.847
0.500 0.500 0.153
0.500 0.500 0.847
0.500 0.847 0.153
0.500 0.847 0.500
0.654 0.115 0.115
0.847 0.153 0.500
0.847 0.500 0.153
0.847 0.500 0.500
0.885 0.346 0.885
0.885 0.885 0.346
0.885 0.885 0.885
```

=====

UH4I3 after structural relaxation, computed with GGA-PBE.

```
UH4I3
1.0
-1.954 2.853 7.247
1.954 -2.853 7.247
1.954 2.853 -7.247
U H I
1 4 3
Direct
0.000 0.000 0.000
0.223 0.926 0.296
0.370 0.074 0.296
0.630 0.926 0.704
0.777 0.074 0.704
0.165 0.665 0.500
0.500 0.500 0.000
0.835 0.335 0.500
```

=====

Ni2BiNCl after structural relaxation, computed with GGA-PBE.

```
Ni2BiNCl
1.0
3.801 0.000 0.000
0.000 3.801 0.000
0.000 0.000 5.885
Ni Bi N Cl
2 1 1 1
Direct
0.000 0.500 0.000
0.500 0.000 0.000
0.000 0.000 0.500
0.500 0.500 0.000
0.500 0.500 0.500
```

=====

GaPHIrPtS after structural relaxation, computed with GGA-PBE.

Summary:
Its energy above the most stable polymorph in this dataset is 44 meV/atom.

```
GaPHIrPtS
1.0
3.581 0.000 0.000
-0.200 5.397 0.000
-1.154 -2.407 5.523
Ga P H Ir Pt S
1 1 1 1 1 1
Direct
0.000 0.000 0.000
0.549 0.574 0.146
0.227 0.780 0.576
0.091 0.466 0.312
0.411 0.663 0.811
0.634 0.287 0.499
```

=====

BaMnPPt after structural relaxation, computed with GGA-PBE.

```
BaMnPPt
1.0
3.809 0.000 0.000
0.000 3.809 0.000
0.000 0.000 11.761
Ba Mn P Pt
2 2 2 2
Direct
0.250 0.250 0.227
0.750 0.750 0.773
0.250 0.750 0.500
0.750 0.250 0.500
0.250 0.250 0.609
0.750 0.750 0.391
0.250 0.750 0.000
0.750 0.250 0.000
```

=====

Calculated magnetization, 0.0 0.0 6.7 11.0 2.7 9.6 0.0 0.0 0.0 0.5 0.0 0.0 2.9 μB per cell (same order as the records).
Calculated final energy, -6.285 -5.742 -6.984 -5.784 -5.536 -6.668 -4.998 -2.103 -3.444 -3.514 -4.722 -5.424 -6.271 eV/atom (same order as the records).